First-principles (PBE) data for an optimized crystal structure of AlFeAu, as listed in Alexandria via LeMat-Bulk.

Cell: 4.604 4.604 6.824 Å, 101.29 101.29 40.06°
Element x y z (fractional)
Al: 0.090 0.090 0.218
Al: 0.910 0.910 0.782
Fe: 0.359 0.359 0.053
Fe: 0.641 0.641 0.947
Au: 0.163 0.163 0.625
Au: 0.837 0.837 0.375

Results
ΔH_f (0 K)	-0.2111	eV per atom
calculated volume	91.0	Å³ per cell
ρ	10.21	g cm⁻³